Material: KTmHgSe3
Method: DFT, PBE
State: relaxed

Cell lengths 18.362, 4.153, 9.274 Å; angles 90.00, 102.52, 90.00 degrees
Space group C2/m (No. 12)
Unique sites:
1 K 0.142 0.000 0.070
2 Tm 0.174 0.000 0.580
3 Hg 0.019 0.500 0.723
4 Se 0.000 0.000 0.500
5 Se 0.000 0.500 0.000
6 Se 0.170 0.500 0.371
7 Se 0.172 0.500 0.787

Calculated values
Total magnetic moment, μB per atom: 0.000
Total DFT energy (no corrections), eV/f.u.: -23.1